Record 1
Density functional theory data (meta-GGA SCAN) for a crystal of AlIn2P relaxed with PBEsol.

```
data_AlIn2P
_chemical_formula_sum 'Al2 In4 P2'
_cell_length_a 5.945
_cell_length_b 7.472
_cell_length_c 3.674
_cell_angle_alpha 90.00
_cell_angle_beta 90.00
_cell_angle_gamma 90.00
_space_group_name_H-M_alt 'C m m m'
_space_group_IT_number 65
_space_group_name_Hall '-C 2 2'
loop_
_atom_site_label
_atom_site_type_symbol
_atom_site_fract_x
_atom_site_fract_y
_atom_site_fract_z
Al1 Al 0.000 0.000 0.000
In1 In 0.250 0.250 0.500
P1 P 0.000 0.500 0.000
```

## Properties
DFT formation energy, eV per atom: 0.2837
Final energy, eV/atom: -20.947

Record 2
Density functional theory data (meta-GGA SCAN) for a crystal of AlInP2 relaxed with PBEsol.

```
data_AlInP2
_chemical_formula_sum 'Al4 In4 P8'
_cell_length_a 5.665
_cell_length_b 5.665
_cell_length_c 11.291
_cell_angle_alpha 90.00
_cell_angle_beta 90.00
_cell_angle_gamma 90.00
_space_group_name_H-M_alt 'I -4 2 d'
_space_group_IT_number 122
_space_group_name_Hall 'I -4 2bw'
loop_
_atom_site_label
_atom_site_type_symbol
_atom_site_fract_x
_atom_site_fract_y
_atom_site_fract_z
Al1 Al 0.000 0.000 0.000
In1 In 0.000 0.000 0.500
P1 P 0.224 0.250 0.125
```

## Properties
DFT formation energy, eV per atom: -0.5255
Final energy, eV/atom: -16.009

Record 3
Density functional theory data (meta-GGA SCAN) for a crystal of Ta2AlInP relaxed with PBEsol.

```
data_Ta2AlInP
_chemical_formula_sum 'Ta2 Al1 In1 P1'
_cell_length_a 5.068
_cell_length_b 5.068
_cell_length_c 4.505
_cell_angle_alpha 90.00
_cell_angle_beta 90.00
_cell_angle_gamma 90.00
_space_group_name_H-M_alt 'P 4/m m m'
_space_group_IT_number 123
_space_group_name_Hall '-P 4 2'
loop_
_atom_site_label
_atom_site_type_symbol
_atom_site_fract_x
_atom_site_fract_y
_atom_site_fract_z
Ta1 Ta 0.000 0.500 0.000
Al1 Al 0.000 0.000 0.500
In1 In 0.000 0.000 0.000
P1 P 0.500 0.500 0.500
```

## Properties
DFT formation energy, eV per atom: 2.1177
Final energy, eV/atom: -34.823

Record 4
Density functional theory data (meta-GGA SCAN) for a crystal of TaAlIn2P relaxed with PBEsol.

```
data_TaAlIn2P
_chemical_formula_sum 'Ta1 Al1 In2 P1'
_cell_length_a 4.948
_cell_length_b 4.948
_cell_length_c 4.875
_cell_angle_alpha 90.00
_cell_angle_beta 90.00
_cell_angle_gamma 90.00
_space_group_name_H-M_alt 'P 4/m m m'
_space_group_IT_number 123
_space_group_name_Hall '-P 4 2'
loop_
_atom_site_label
_atom_site_type_symbol
_atom_site_fract_x
_atom_site_fract_y
_atom_site_fract_z
Ta1 Ta 0.000 0.000 0.000
Al1 Al 0.000 0.000 0.500
In1 In 0.000 0.500 0.500
P1 P 0.500 0.500 0.000
```

## Properties
DFT formation energy, eV per atom: 1.2739
Final energy, eV/atom: -29.027

Record 5
Density functional theory data (meta-GGA SCAN) for a crystal of AlIn2Pb relaxed with PBEsol.

```
data_AlIn2Pb
_chemical_formula_sum 'Al3 In6 Pb3'
_cell_length_a 3.3409
_cell_length_b 3.3409
_cell_length_c 30.5911
_cell_angle_alpha 90.00
_cell_angle_beta 90.00
_cell_angle_gamma 120.00
_space_group_name_H-M_alt 'R -3 m'
_space_group_IT_number 166
_space_group_name_Hall '-R 3 2"'
loop_
_atom_site_label
_atom_site_type_symbol
_atom_site_fract_x
_atom_site_fract_y
_atom_site_fract_z
Al1 Al 0.0000 0.0000 0.0000
In1 In 0.0000 0.0000 0.2592
Pb1 Pb 0.0000 0.0000 0.5000
```

## Properties
DFT formation energy, eV per atom: 0.1299
Final energy, eV/atom: -37.447

Record 6
Density functional theory data (meta-GGA SCAN) for a crystal of AlIn2Pb relaxed with PBEsol.

```
data_AlIn2Pb
_chemical_formula_sum 'Al2 In4 Pb2'
_cell_length_a 11.796
_cell_length_b 3.237
_cell_length_c 5.545
_cell_angle_alpha 90.00
_cell_angle_beta 111.64
_cell_angle_gamma 90.00
_space_group_name_H-M_alt 'C 1 2/m 1'
_space_group_IT_number 12
loop_
_space_group_symop_operation_xyz
'x,y,z'
'-x,-y,-z'
'-x,y,-z'
'x,-y,z'
'x+1/2,y+1/2,z'
'-x+1/2,-y+1/2,-z'
'-x+1/2,y+1/2,-z'
'x+1/2,-y+1/2,z'
loop_
_atom_site_label
_atom_site_type_symbol
_atom_site_fract_x
_atom_site_fract_y
_atom_site_fract_z
Al1 Al 0.000 0.000 0.000
In1 In 0.228 0.500 0.230
Pb1 Pb 0.000 0.500 0.500
```

## Properties
DFT formation energy, eV per atom: 0.1571
Final energy, eV/atom: -37.419

Record 7
Density functional theory data (meta-GGA SCAN) for a crystal of Al2InPb relaxed with PBEsol.

```
data_Al2InPb
_chemical_formula_sum 'Al2 In1 Pb1'
_cell_length_a 3.298
_cell_length_b 4.066
_cell_length_c 6.738
_cell_angle_alpha 90.00
_cell_angle_beta 90.00
_cell_angle_gamma 90.00
_space_group_name_H-M_alt 'P m m m'
_space_group_IT_number 47
loop_
_space_group_symop_operation_xyz
'x,y,z'
'-x,-y,-z'
'-x,-y,z'
'x,y,-z'
'x,-y,-z'
'-x,y,z'
'-x,y,-z'
'x,-y,z'
loop_
_atom_site_label
_atom_site_type_symbol
_atom_site_fract_x
_atom_site_fract_y
_atom_site_fract_z
Al1 Al 0.000 0.000 0.223
In1 In 0.500 0.500 0.000
Pb1 Pb 0.500 0.500 0.500
```

## Properties
DFT formation energy, eV per atom: 0.2298
Final energy, eV/atom: -30.938

Record 8
Density functional theory data (meta-GGA SCAN) for a crystal of AlIn2Pb relaxed with PBEsol.

```
data_AlIn2Pb
_chemical_formula_sum 'Al2 In4 Pb2'
_cell_length_a 3.506
_cell_length_b 5.372
_cell_length_c 10.514
_cell_angle_alpha 90.00
_cell_angle_beta 90.00
_cell_angle_gamma 90.00
_space_group_name_H-M_alt 'I m m 2'
_space_group_IT_number 44
loop_
_space_group_symop_operation_xyz
'x,y,z'
'-x,-y,z'
'-x,y,z'
'x,-y,z'
'x+1/2,y+1/2,z+1/2'
'-x+1/2,-y+1/2,z+1/2'
'-x+1/2,y+1/2,z+1/2'
'x+1/2,-y+1/2,z+1/2'
loop_
_atom_site_label
_atom_site_type_symbol
_atom_site_fract_x
_atom_site_fract_y
_atom_site_fract_z
Al1 Al 0.000 0.000 0.000
In1 In 0.000 0.000 0.485
In2 In 0.000 0.500 0.723
Pb1 Pb 0.000 0.500 0.261
```

## Properties
DFT formation energy, eV per atom: 0.1864
Final energy, eV/atom: -37.390

Record 9
Density functional theory data (meta-GGA SCAN) for a crystal of Al3InPb relaxed with PBEsol.

```
data_Al3InPb
_chemical_formula_sum 'Al3 In1 Pb1'
_cell_length_a 5.148
_cell_length_b 5.148
_cell_length_c 5.148
_cell_angle_alpha 90.00
_cell_angle_beta 90.00
_cell_angle_gamma 90.00
_space_group_name_H-M_alt 'P m -3 m'
_space_group_IT_number 221
_space_group_name_Hall '-P 4 2 3'
loop_
_atom_site_label
_atom_site_type_symbol
_atom_site_fract_x
_atom_site_fract_y
_atom_site_fract_z
Al1 Al 0.000 0.000 0.500
In1 In 0.000 0.000 0.000
Pb1 Pb 0.500 0.500 0.500
```

## Properties
DFT formation energy, eV per atom: 0.7651
Final energy, eV/atom: -25.720

Record 10
Density functional theory data (meta-GGA SCAN) for a crystal of Al2InPb relaxed with PBEsol.

```
data_Al2InPb
_chemical_formula_sum 'Al4 In2 Pb2'
_cell_length_a 4.736
_cell_length_b 4.736
_cell_length_c 8.052
_cell_angle_alpha 90.00
_cell_angle_beta 90.00
_cell_angle_gamma 90.00
_space_group_name_H-M_alt 'I 4/m m m'
_space_group_IT_number 139
_space_group_name_Hall '-I 4 2'
loop_
_atom_site_label
_atom_site_type_symbol
_atom_site_fract_x
_atom_site_fract_y
_atom_site_fract_z
Al1 Al 0.000 0.500 0.250
In1 In 0.000 0.000 0.000
Pb1 Pb 0.000 0.000 0.500
```

## Properties
DFT formation energy, eV per atom: 0.2457
Final energy, eV/atom: -30.922

Record 11
Density functional theory data (meta-GGA SCAN) for a crystal of Al2InPd relaxed with PBEsol.

```
data_Al2InPd
_chemical_formula_sum 'Al8 In4 Pd4'
_cell_length_a 7.771
_cell_length_b 7.771
_cell_length_c 5.192
_cell_angle_alpha 90.00
_cell_angle_beta 90.00
_cell_angle_gamma 90.00
_space_group_name_H-M_alt 'I -4 2 d'
_space_group_IT_number 122
_space_group_name_Hall 'I -4 2bw'
loop_
_atom_site_label
_atom_site_type_symbol
_atom_site_fract_x
_atom_site_fract_y
_atom_site_fract_z
Al1 Al 0.188 0.250 0.125
In1 In 0.000 0.000 0.500
Pd1 Pd 0.000 0.000 0.000
```

## Properties
DFT formation energy, eV per atom: -0.1255
Final energy, eV/atom: -20.542

Record 12
Density functional theory data (meta-GGA SCAN) for a crystal of Pm2AlIn relaxed with PBEsol.

```
data_Pm2AlIn
_chemical_formula_sum 'Pm8 Al4 In4'
_cell_length_a 7.439
_cell_length_b 7.439
_cell_length_c 7.439
_cell_angle_alpha 90.00
_cell_angle_beta 90.00
_cell_angle_gamma 90.00
_space_group_name_H-M_alt 'F m -3 m'
_space_group_IT_number 225
_space_group_name_Hall '-F 4 2 3'
loop_
_atom_site_label
_atom_site_type_symbol
_atom_site_fract_x
_atom_site_fract_y
_atom_site_fract_z
Pm1 Pm 0.250 0.250 0.250
Al1 Al 0.000 0.000 0.000
In1 In 0.000 0.000 0.500
```

## Properties
DFT formation energy, eV per atom: -0.5081
Final energy, eV/atom: -32.785

Record 13
Density functional theory data (meta-GGA SCAN) for a crystal of Al3InPt relaxed with PBEsol.

```
data_Al3InPt
_chemical_formula_sum 'Al3 In1 Pt1'
_cell_length_a 4.949
_cell_length_b 4.949
_cell_length_c 4.949
_cell_angle_alpha 90.00
_cell_angle_beta 90.00
_cell_angle_gamma 90.00
_space_group_name_H-M_alt 'P m -3 m'
_space_group_IT_number 221
_space_group_name_Hall '-P 4 2 3'
loop_
_atom_site_label
_atom_site_type_symbol
_atom_site_fract_x
_atom_site_fract_y
_atom_site_fract_z
Al1 Al 0.000 0.000 0.500
In1 In 0.000 0.000 0.000
Pt1 Pt 0.500 0.500 0.500
```

## Properties
DFT formation energy, eV per atom: 1.1312
Final energy, eV/atom: -24.236

Record 14
Density functional theory data (meta-GGA SCAN) for a crystal of Al2InPt relaxed with PBEsol.

```
data_Al2InPt
_chemical_formula_sum 'Al4 In2 Pt2'
_cell_length_a 5.354
_cell_length_b 7.690
_cell_length_c 3.311
_cell_angle_alpha 90.00
_cell_angle_beta 90.00
_cell_angle_gamma 90.00
_space_group_name_H-M_alt 'C m m m'
_space_group_IT_number 65
_space_group_name_Hall '-C 2 2'
loop_
_atom_site_label
_atom_site_type_symbol
_atom_site_fract_x
_atom_site_fract_y
_atom_site_fract_z
Al1 Al 0.250 0.250 0.000
In1 In 0.000 0.000 0.500
Pt1 Pt 0.000 0.500 0.500
```

## Properties
DFT formation energy, eV per atom: -0.3019
Final energy, eV/atom: -30.073

Record 15
Density functional theory data (meta-GGA SCAN) for a crystal of Al2InPt relaxed with PBEsol.

```
data_Al2InPt
_chemical_formula_sum 'Al2 In1 Pt1'
_cell_length_a 2.983
_cell_length_b 2.983
_cell_length_c 7.924
_cell_angle_alpha 90.00
_cell_angle_beta 90.00
_cell_angle_gamma 90.00
_space_group_name_H-M_alt 'P 4/m m m'
_space_group_IT_number 123
_space_group_name_Hall '-P 4 2'
loop_
_atom_site_label
_atom_site_type_symbol
_atom_site_fract_x
_atom_site_fract_y
_atom_site_fract_z
Al1 Al 0.000 0.000 0.200
In1 In 0.500 0.500 0.500
Pt1 Pt 0.500 0.500 0.000
```

## Properties
DFT formation energy, eV per atom: -0.4936
Final energy, eV/atom: -30.264

Record 16
Density functional theory data (meta-GGA SCAN) for a crystal of RbAl3In relaxed with PBEsol.

```
data_RbAl3In
_chemical_formula_sum 'Rb1 Al3 In1'
_cell_length_a 5.443
_cell_length_b 5.443
_cell_length_c 5.443
_cell_angle_alpha 90.00
_cell_angle_beta 90.00
_cell_angle_gamma 90.00
_space_group_name_H-M_alt 'P m -3 m'
_space_group_IT_number 221
_space_group_name_Hall '-P 4 2 3'
loop_
_atom_site_label
_atom_site_type_symbol
_atom_site_fract_x
_atom_site_fract_y
_atom_site_fract_z
Rb1 Rb 0.000 0.000 0.000
Al1 Al 0.000 0.500 0.500
In1 In 0.500 0.500 0.500
```

## Properties
DFT formation energy, eV per atom: 0.6529
Final energy, eV/atom: -14.823

Record 17
Density functional theory data (meta-GGA SCAN) for a crystal of RbAlInSn2 relaxed with PBEsol.

```
data_RbAlInSn2
_chemical_formula_sum 'Rb1 Al1 In1 Sn2'
_cell_length_a 5.950
_cell_length_b 5.950
_cell_length_c 5.940
_cell_angle_alpha 90.00
_cell_angle_beta 90.00
_cell_angle_gamma 90.00
_space_group_name_H-M_alt 'P 4/m m m'
_space_group_IT_number 123
_space_group_name_Hall '-P 4 2'
loop_
_atom_site_label
_atom_site_type_symbol
_atom_site_fract_x
_atom_site_fract_y
_atom_site_fract_z
Rb1 Rb 0.000 0.000 0.000
Al1 Al 0.500 0.500 0.500
In1 In 0.000 0.000 0.500
Sn1 Sn 0.000 0.500 0.000
```

## Properties
DFT formation energy, eV per atom: 1.4457
Final energy, eV/atom: -25.298

Record 18
Density functional theory data (meta-GGA SCAN) for a crystal of Al2InRe relaxed with PBEsol.

```
data_Al2InRe
_chemical_formula_sum 'Al2 In1 Re1'
_cell_length_a 2.861
_cell_length_b 2.861
_cell_length_c 8.319
_cell_angle_alpha 90.00
_cell_angle_beta 90.00
_cell_angle_gamma 90.00
_space_group_name_H-M_alt 'P 4 m m'
_space_group_IT_number 99
loop_
_space_group_symop_operation_xyz
'x,y,z'
'-y,x,z'
'-x,-y,z'
'y,-x,z'
'-x,y,z'
'y,x,z'
'x,-y,z'
'-y,-x,z'
loop_
_atom_site_label
_atom_site_type_symbol
_atom_site_fract_x
_atom_site_fract_y
_atom_site_fract_z
Al1 Al 0.000 0.000 0.000
Al2 Al 0.500 0.500 0.247
In1 In 0.000 0.000 0.543
Re1 Re 0.500 0.500 0.795
```

## Properties
DFT formation energy, eV per atom: 0.2474
Final energy, eV/atom: -29.749

Record 19
Density functional theory data (meta-GGA SCAN) for a crystal of AlInRe3 relaxed with PBEsol.

```
data_AlInRe3
_chemical_formula_sum 'Al1 In1 Re3'
_cell_length_a 4.453
_cell_length_b 4.453
_cell_length_c 4.453
_cell_angle_alpha 90.00
_cell_angle_beta 90.00
_cell_angle_gamma 90.00
_space_group_name_H-M_alt 'P m -3 m'
_space_group_IT_number 221
_space_group_name_Hall '-P 4 2 3'
loop_
_atom_site_label
_atom_site_type_symbol
_atom_site_fract_x
_atom_site_fract_y
_atom_site_fract_z
Al1 Al 0.000 0.000 0.000
In1 In 0.500 0.500 0.500
Re1 Re 0.000 0.000 0.500
```

## Properties
DFT formation energy, eV per atom: 1.6596
Final energy, eV/atom: -49.227

Record 20
Density functional theory data (meta-GGA SCAN) for a crystal of AlIn2Re relaxed with PBEsol.

```
data_AlIn2Re
_chemical_formula_sum 'Al1 In2 Re1'
_cell_length_a 2.948
_cell_length_b 2.948
_cell_length_c 8.609
_cell_angle_alpha 90.00
_cell_angle_beta 90.00
_cell_angle_gamma 90.00
_space_group_name_H-M_alt 'P 4/m m m'
_space_group_IT_number 123
_space_group_name_Hall '-P 4 2'
loop_
_atom_site_label
_atom_site_type_symbol
_atom_site_fract_x
_atom_site_fract_y
_atom_site_fract_z
Al1 Al 0.000 0.000 0.000
In1 In 0.500 0.500 0.270
Re1 Re 0.000 0.000 0.500
```

## Properties
DFT formation energy, eV per atom: 0.5249
Final energy, eV/atom: -35.881